# Ba2PdS PBE relaxed
data_Ba2PdS
_space_group_name_H-M_alt 'P 4/m m m'
_space_group_IT_number 123
_space_group_name_Hall '-P 4 2'
_cell_length_a 3.887
_cell_length_b 3.887
_cell_length_c 7.847
_cell_angle_alpha 90.00
_cell_angle_beta 90.00
_cell_angle_gamma 90.00
loop_
_atom_site_label
_atom_site_type_symbol
_atom_site_fract_x
_atom_site_fract_y
_atom_site_fract_z
_atom_site_occupancy
Ba1 Ba 0.000 0.000 0.241 1
Pd1 Pd 0.500 0.500 0.500 1
S1 S 0.500 0.500 0.000 1
# uncorrected formation energy	-1.135	eV/atom
# M_tot	0.000	μB per atom
# volume	29.64	Å³ per atom